Version P
DFT (PBE) results for a relaxed La2MgBiN crystal.

Structure (POSCAR):
```
La2MgBiN
1.0
-1.806 5.699 0.510
-1.836 -0.869 3.214
4.934 1.280 3.165
Bi La Mg N
1 2 1 1
Cartesian
0.646 3.055 3.444
-0.903 2.850 0.255
2.467 0.640 1.583
0.000 0.000 0.000
-0.918 -0.435 1.607
```



Version Q
DFT (PBE) results for a relaxed La2MgBiN crystal.

Structure (POSCAR):
```
La2MgBiN
1.0
-4.334 -0.656 2.833
2.787 -2.384 3.713
0.708 3.931 1.992
Bi N La Mg
1 1 2 1
Cartesian
-0.420 0.446 4.269
0.000 0.000 0.000
-2.167 -0.328 1.416
1.394 -1.192 1.856
0.354 1.965 0.996
```



It comes down to version Q, which is 91.1 kJ/mol of atoms more stable than the next structure.